Entry 1:
The following is a meta-GGA SCAN calculation of a PBEsol-optimized structure of TcHgSe2, from Alexandria.

Structure (CIF):
```
data_TcHgSe2
_cell_length_a 3.157
_cell_length_b 5.939
_cell_length_c 9.399
_cell_angle_alpha 89.58
_cell_angle_beta 99.67
_cell_angle_gamma 90.00
_space_group_name_H-M_alt 'P 1'
_space_group_IT_number 1
loop_
_space_group_symop_operation_xyz
'x,y,z'
loop_
_atom_site_label
_atom_site_fract_x
_atom_site_fract_y
_atom_site_fract_z
Hg1 0.514 0.250 0.027
Se1 0.153 0.930 0.306
Tc1 0.749 0.804 0.497
Se2 0.323 0.566 0.646
Se3 0.847 0.070 0.694
Hg2 0.486 0.750 0.973
Se4 0.677 0.434 0.354
Tc2 0.251 0.196 0.503
```

## Properties
V (Å³/atom): 21.71
SG: C2/m (12)
E_form (uncorrected) (eV per formula unit): -1.3

---

Entry 2:
The following is a meta-GGA SCAN calculation of a PBEsol-optimized structure of TcHgSe2, from Alexandria.

Structure (CIF):
```
data_TcHgSe2
_cell_length_a 3.283
_cell_length_b 4.719
_cell_length_c 4.719
_cell_angle_alpha 103.38
_cell_angle_beta 90.12
_cell_angle_gamma 90.12
_space_group_name_H-M_alt 'P 1'
_space_group_IT_number 1
loop_
_space_group_symop_operation_xyz
'x,y,z'
loop_
_atom_site_label
_atom_site_fract_x
_atom_site_fract_y
_atom_site_fract_z
Se1 0.000 0.000 0.500
Se2 0.000 0.500 0.000
Hg1 0.500 0.500 0.500
Tc1 0.500 0.000 0.000
```

## Properties
V (Å³/atom): 17.78
SG: C2/m (12)
E_form (uncorrected) (eV per formula unit): 2.9

---

Entry 3:
The following is a meta-GGA SCAN calculation of a PBEsol-optimized structure of TcHgSe2, from Alexandria.

Structure (CIF):
```
data_TcHgSe2
_cell_length_a 3.717
_cell_length_b 3.717
_cell_length_c 6.697
_cell_angle_alpha 106.11
_cell_angle_beta 106.11
_cell_angle_gamma 90.00
_space_group_name_H-M_alt 'P 1'
_space_group_IT_number 1
loop_
_space_group_symop_operation_xyz
'x,y,z'
loop_
_atom_site_label
_atom_site_fract_x
_atom_site_fract_y
_atom_site_fract_z
Se1 0.750 0.250 0.500
Tc1 0.500 0.500 0.000
Se2 0.000 0.000 0.000
Hg1 0.250 0.750 0.500
```

## Properties
V (Å³/atom): 21.28
SG: I-4m2 (119)
E_form (uncorrected) (eV per formula unit): 2.1

---

Entry 4:
The following is a meta-GGA SCAN calculation of a PBEsol-optimized structure of TcHgSe2, from Alexandria.

Structure (CIF):
```
data_TcHgSe2
_cell_length_a 3.031
_cell_length_b 3.054
_cell_length_c 9.417
_cell_angle_alpha 99.33
_cell_angle_beta 99.26
_cell_angle_gamma 90.00
_space_group_name_H-M_alt 'P 1'
_space_group_IT_number 1
loop_
_space_group_symop_operation_xyz
'x,y,z'
loop_
_atom_site_label
_atom_site_fract_x
_atom_site_fract_y
_atom_site_fract_z
Se1 0.980 0.980 0.960
Tc1 0.553 0.553 0.105
Se2 0.157 0.657 0.314
Hg1 0.811 0.311 0.621
```

## Properties
V (Å³/atom): 21.21
SG: Imm2 (44)
E_form (uncorrected) (eV per formula unit): -0.4

---

Entry 5:
The following is a meta-GGA SCAN calculation of a PBEsol-optimized structure of TcHg2Se, from Alexandria.

Structure (CIF):
```
data_TcHg2Se
_cell_length_a 3.104
_cell_length_b 4.420
_cell_length_c 6.679
_cell_angle_alpha 109.32
_cell_angle_beta 90.00
_cell_angle_gamma 90.00
_space_group_name_H-M_alt 'P 1'
_space_group_IT_number 1
loop_
_space_group_symop_operation_xyz
'x,y,z'
loop_
_atom_site_label
_atom_site_fract_x
_atom_site_fract_y
_atom_site_fract_z
Se1 0.000 0.799 0.598
Tc1 0.500 0.654 0.309
Hg1 0.000 0.108 0.215
Hg2 0.500 0.439 0.878
```

## Properties
V (Å³/atom): 21.61
SG: Amm2 (38)
E_form (uncorrected) (eV per formula unit): 0.8

---

Entry 6:
The following is a meta-GGA SCAN calculation of a PBEsol-optimized structure of TcHg2Se, from Alexandria.

Structure (CIF):
```
data_TcHg2Se
_cell_length_a 4.744
_cell_length_b 4.744
_cell_length_c 4.744
_cell_angle_alpha 60.00
_cell_angle_beta 60.00
_cell_angle_gamma 60.00
_space_group_name_H-M_alt 'P 1'
_space_group_IT_number 1
loop_
_space_group_symop_operation_xyz
'x,y,z'
loop_
_atom_site_label
_atom_site_fract_x
_atom_site_fract_y
_atom_site_fract_z
Hg1 0.000 0.000 0.000
Se1 0.500 0.500 0.500
Hg2 0.250 0.250 0.250
Tc1 0.750 0.750 0.750
```

## Properties
V (Å³/atom): 18.87
SG: F-43m (216)
E_form (uncorrected) (eV per formula unit): 2.8

---

Entry 7:
The following is a meta-GGA SCAN calculation of a PBEsol-optimized structure of Hg2TeSe, from Alexandria.

Structure (CIF):
```
data_Hg2TeSe
_cell_length_a 2.913
_cell_length_b 4.106
_cell_length_c 8.456
_cell_angle_alpha 90.00
_cell_angle_beta 100.22
_cell_angle_gamma 90.00
_space_group_name_H-M_alt 'P 1'
_space_group_IT_number 1
loop_
_space_group_symop_operation_xyz
'x,y,z'
loop_
_atom_site_label
_atom_site_fract_x
_atom_site_fract_y
_atom_site_fract_z
Hg1 0.183 0.500 0.755
Se1 0.071 0.000 0.518
Te1 0.937 0.500 0.248
Hg2 0.809 0.000 0.979
```

## Properties
V (Å³/atom): 24.88
Polymorph energy (0 for the lowest one) (eV/atom): 0.272
SG: Pm (6)
E_form (uncorrected) (eV per formula unit): 0.4

---

Entry 8:
The following is a meta-GGA SCAN calculation of a PBEsol-optimized structure of Hg2TeSe, from Alexandria.

Structure (CIF):
```
data_Hg2TeSe
_cell_length_a 4.064
_cell_length_b 4.064
_cell_length_c 5.905
_cell_angle_alpha 90.00
_cell_angle_beta 90.00
_cell_angle_gamma 90.00
_space_group_name_H-M_alt 'P 1'
_space_group_IT_number 1
loop_
_space_group_symop_operation_xyz
'x,y,z'
loop_
_atom_site_label
_atom_site_fract_x
_atom_site_fract_y
_atom_site_fract_z
Se1 0.500 0.500 0.000
Hg1 0.000 0.000 0.757
Hg2 0.000 0.000 0.243
Te1 0.500 0.500 0.500
```

## Properties
V (Å³/atom): 24.38
Polymorph energy (0 for the lowest one) (eV/atom): 0.460
SG: P4/mmm (123)
E_form (uncorrected) (eV per formula unit): 1.1

---

Entry 9:
The following is a meta-GGA SCAN calculation of a PBEsol-optimized structure of Hg2TeSe, from Alexandria.

Structure (CIF):
```
data_Hg2TeSe
_cell_length_a 4.473
_cell_length_b 4.473
_cell_length_c 7.743
_cell_angle_alpha 73.21
_cell_angle_beta 73.21
_cell_angle_gamma 60.00
_space_group_name_H-M_alt 'P 1'
_space_group_IT_number 1
loop_
_space_group_symop_operation_xyz
'x,y,z'
loop_
_atom_site_label
_atom_site_fract_x
_atom_site_fract_y
_atom_site_fract_z
Te1 0.376 0.376 0.872
Hg1 0.504 0.504 0.487
Se1 0.874 0.874 0.377
Hg2 0.995 0.995 0.014
```

## Properties
V (Å³/atom): 31.62
Polymorph energy (0 for the lowest one) (eV/atom): 0.008
SG: R3m (160)
E_form (uncorrected) (eV per formula unit): -0.7

---

Entry 10:
The following is a meta-GGA SCAN calculation of a PBEsol-optimized structure of Hg2TeSe, from Alexandria.

Structure (CIF):
```
data_Hg2TeSe
_cell_length_a 6.322
_cell_length_b 6.322
_cell_length_c 7.737
_cell_angle_alpha 114.11
_cell_angle_beta 114.11
_cell_angle_gamma 90.00
_space_group_name_H-M_alt 'P 1'
_space_group_IT_number 1
loop_
_space_group_symop_operation_xyz
'x,y,z'
loop_
_atom_site_label
_atom_site_fract_x
_atom_site_fract_y
_atom_site_fract_z
Hg1 0.856 0.375 0.250
Hg2 0.394 0.875 0.250
Se1 0.750 0.250 0.500
Hg3 0.125 0.144 0.750
Hg4 0.625 0.606 0.750
Te1 0.250 0.750 0.500
Se2 0.500 0.500 0.000
Te2 0.000 0.000 0.000
```

## Properties
V (Å³/atom): 31.54
Polymorph energy (0 for the lowest one) (eV/atom): 0.000
SG: I-42d (122)
E_form (uncorrected) (eV per formula unit): -0.7

---

Entry 11:
The following is a meta-GGA SCAN calculation of a PBEsol-optimized structure of HgTeSe2, from Alexandria.

Structure (CIF):
```
data_HgTeSe2
_cell_length_a 2.985
_cell_length_b 4.154
_cell_length_c 8.073
_cell_angle_alpha 90.00
_cell_angle_beta 88.71
_cell_angle_gamma 90.00
_space_group_name_H-M_alt 'P 1'
_space_group_IT_number 1
loop_
_space_group_symop_operation_xyz
'x,y,z'
loop_
_atom_site_label
_atom_site_fract_x
_atom_site_fract_y
_atom_site_fract_z
Se1 0.004 0.000 0.247
Hg1 0.000 0.500 0.000
Te1 0.000 0.500 0.500
Se2 0.996 0.000 0.753
```

## Properties
V (Å³/atom): 25.02
Polymorph energy (0 for the lowest one) (eV/atom): 0.195
SG: P2/m (10)
E_form (uncorrected) (eV per formula unit): 0.4

---

Entry 12:
The following is a meta-GGA SCAN calculation of a PBEsol-optimized structure of HgTeSe2, from Alexandria.

Structure (CIF):
```
data_HgTeSe2
_cell_length_a 4.170
_cell_length_b 4.170
_cell_length_c 5.656
_cell_angle_alpha 90.00
_cell_angle_beta 90.00
_cell_angle_gamma 90.00
_space_group_name_H-M_alt 'P 1'
_space_group_IT_number 1
loop_
_space_group_symop_operation_xyz
'x,y,z'
loop_
_atom_site_label
_atom_site_fract_x
_atom_site_fract_y
_atom_site_fract_z
Te1 0.000 0.000 0.000
Hg1 0.500 0.500 0.500
Se1 0.500 0.500 0.000
Se2 0.000 0.000 0.500
```

## Properties
V (Å³/atom): 24.59
Polymorph energy (0 for the lowest one) (eV/atom): 0.084
SG: P4/mmm (123)
E_form (uncorrected) (eV per formula unit): -0.1

---

> The highest V belongs to which entry?

number 9